The following is a PBE calculation of crystalline K2PuUTe4 at its relaxed geometry, from Alexandria via LeMat-Bulk.

The uncorrected formation energy comes out at -0.9981 eV per atom. Its total DFT energy (no corrections) is -0.222 hartree per atom. The magnetic moment is 1.0000 μB/atom.

The space group is P2/m (No. 10) and the conventional cell measures 7.880, 4.544 and 8.640 Å, with angles of 90.00, 107.61 and 90.00 degrees. Symmetry generates all atoms from K at (0.000, 0.000, 0.000), K at (0.500, 0.500, 0.000), Pu at (0.000, 0.500, 0.500), U at (0.500, 0.000, 0.500), Te at (0.241, 0.000, 0.710) and Te at (0.267, 0.500, 0.290).